BaTiAs2 | PBE-GGA | relaxed

The energy is -22.235 eV/f.u. The energy above the most stable polymorph in this dataset is 0.088 eV per atom. As for the calculated density: 4.57 g/cm³. Its formation enthalpy at 0 K is -3.1 eV per formula unit.

It has space group I-42d (No. 122), with a = 7.439 Å, b = 7.439 Å, c = 8.805 Å, α = 90.00°, β = 90.00° and γ = 90.00°. The asymmetric unit holds Ba at (0.000, 0.000, 0.000), Ti at (0.000, 0.000, 0.500) and As at (0.161, 0.750, 0.625).

=====

AlSbIrI2 | PBE-GGA | relaxed

The energy is -17.593 eV/f.u. The uncorrected formation energy is 2.23 eV per formula unit. The energy above the most stable polymorph in this dataset is 0.000 eV per atom. As for the calculated density: 6.04 g/cm³.

It has space group P4/mmm (No. 123), with a = 5.753 Å, b = 5.753 Å, c = 4.939 Å, α = 90.00°, β = 90.00° and γ = 90.00°. The asymmetric unit holds Al at (0.000, 0.000, 0.000), Sb at (0.500, 0.500, 0.000), Ir at (0.500, 0.500, 0.500) and I at (0.000, 0.500, 0.500).

=====

LaPa2Ru | PBE-GGA | relaxed

The energy is -32.661 eV/f.u. The energy above the most stable polymorph in this dataset is 0.211 eV per atom. As for the calculated density: 12.50 g/cm³. Its formation enthalpy at 0 K is 0.5 eV per formula unit.

It has space group R-3m (No. 166, hexagonal axes), with a = 4.6973 Å, b = 4.6973 Å, c = 14.6439 Å, α = 90.00°, β = 90.00° and γ = 120.00°. The asymmetric unit holds La at (0.0000, 0.0000, 0.0000), Pa at (0.0000, 0.0000, 0.2420) and Ru at (0.0000, 0.0000, 0.5000).